Run w
This record from the Alexandria database describes a relaxed structure of Sc2Ni2Rh. The functional is GGA-PBE.

a b c (Å): 6.6285 6.6285 3.5839
angles (deg): 90.00 90.00 90.00
Closest atoms and distances in Å follow each position.
Space group P4/mbm (No. 127)
Unique sites:
1 Sc 0.1825 0.3175 0.0000 [4 per cell]  6 Ni 2.56-2.73
2 Ni 0.1227 0.6227 0.5000 [4 per cell]  1 Ni 2.30, 2 Sc 2.56
3 Rh 0.0000 0.0000 0.5000 [2 per cell]  4 Ni 2.63

- size of the total moment (μB per formula unit) = 0.00

Run x
This record from the Alexandria database describes a relaxed structure of Sc2Ni2Rh. The functional is GGA-PBE.

a b c (Å): 4.7936 4.7936 7.3323
angles (deg): 90.00 90.00 90.00
Closest atoms and distances in Å follow each position.
Space group I4/mmm (No. 139)
Unique sites:
1 Sc 0.0000 0.5000 0.2500 [4 per cell]  4 Ni 2.51
2 Ni 0.0000 0.0000 0.1498 [4 per cell]  1 Ni 2.20
3 Rh 0.0000 0.0000 0.5000 [2 per cell]  2 Ni 2.57

- size of the total moment (μB per formula unit) = 0.00

Most favorable structure: run w. The second most favorable one is 277 meV per atom above it.